The following is a PBE calculation of an optimized crystal structure of Al2NiCl, from Alexandria. Values from VASP.

Summary:
**Energy relative to the lowest polymorph listed for this composition**: 0.7939 eV per atom
**Raw formation energy**: 0.32 eV per atom

Cell and atoms, written as Quantum ESPRESSO input:
```
&SYSTEM
  ibrav = 0, nat = 4, ntyp = 3
/
ATOMIC_SPECIES
Al 26.98 Al.upf
Ni 58.69 Ni.upf
Cl 35.45 Cl.upf
ATOMIC_POSITIONS crystal
Al 0.250 0.250 0.250
Al 0.750 0.750 0.750
Ni 0.000 0.000 0.000
Cl 0.500 0.500 0.500
CELL_PARAMETERS angstrom
0.000 3.233 3.233
3.233 0.000 3.233
3.233 3.233 0.000
```

***

The following is a PBE calculation of an optimized crystal structure of AlNi2Cl, from Alexandria. Values from VASP.

Summary:
**Energy relative to the lowest polymorph listed for this composition**: 0.6324 eV per atom
**Raw formation energy**: 0.37 eV per atom

Cell and atoms, written as Quantum ESPRESSO input:
```
&SYSTEM
  ibrav = 0, nat = 4, ntyp = 3
/
ATOMIC_SPECIES
Al 26.98 Al.upf
Ni 58.69 Ni.upf
Cl 35.45 Cl.upf
ATOMIC_POSITIONS crystal
Al 0.000 0.000 0.000
Ni 0.250 0.250 0.250
Ni 0.500 0.500 0.500
Cl 0.750 0.750 0.750
CELL_PARAMETERS angstrom
0.000 3.026 3.026
3.026 0.000 3.026
3.026 3.026 0.000
```

***

The following is a PBE calculation of an optimized crystal structure of AlNi2Cl, from Alexandria. Values from VASP.

Summary:
**Energy relative to the lowest polymorph listed for this composition**: 0.0277 eV per atom
**Raw formation energy**: -0.23 eV per atom

Cell and atoms, written as Quantum ESPRESSO input:
```
&SYSTEM
  ibrav = 0, nat = 4, ntyp = 3
/
ATOMIC_SPECIES
Al 26.98 Al.upf
Ni 58.69 Ni.upf
Cl 35.45 Cl.upf
ATOMIC_POSITIONS crystal
Al 0.000 0.000 0.000
Ni 0.000 0.500 0.740
Ni 0.500 0.500 0.074
Cl 0.500 0.500 0.464
CELL_PARAMETERS angstrom
3.077 0.000 0.000
0.000 3.724 0.000
0.000 0.000 5.805
```